# 1
{"formula": "HgH2", "functional": "PBE-GGA", "state": "relaxed", "total_energy_ev_per_atom": -1.9325, "volume_a3_per_atom": 24.83, "lattice": [[-5.938, 0.106, -0.375], [-3.301, -2.206, 4.433], [-3.136, 3.666, 3.483]], "species": ["H", "H", "H", "H", "Hg", "Hg"], "frac_coords": [[0.375, 0.375, 0.375], [0.875, 0.375, 0.375], [0.375, 0.875, 0.375], [0.375, 0.375, 0.875], [0.250, 0.250, 0.250], [0.500, 0.500, 0.500]]}

=====

# 2
{"formula": "HgH2", "functional": "PBE-GGA", "state": "relaxed", "total_energy_ev_per_atom": -1.1100, "volume_a3_per_atom": 11.06, "lattice": [[0.000, 3.213, 3.213], [3.213, 0.000, 3.213], [3.213, 3.213, 0.000]], "species": ["H", "H", "H", "H", "Hg", "Hg"], "frac_coords": [[0.625, 0.625, 0.125], [0.625, 0.125, 0.625], [0.125, 0.625, 0.625], [0.625, 0.625, 0.625], [0.000, 0.000, 0.000], [0.250, 0.250, 0.250]]}

=====

# 3
{"formula": "HgH2", "functional": "PBE-GGA", "state": "relaxed", "total_energy_ev_per_atom": -2.0157, "volume_a3_per_atom": 16.50, "lattice": [[6.202, 0.000, 0.000], [0.000, 5.271, 0.000], [0.000, 0.000, 6.055]], "species": ["H", "H", "H", "H", "H", "H", "H", "H", "Hg", "Hg", "Hg", "Hg"], "frac_coords": [[0.855, 0.750, 0.100], [0.590, 0.250, 0.149], [0.090, 0.250, 0.351], [0.355, 0.750, 0.400], [0.645, 0.250, 0.600], [0.910, 0.750, 0.649], [0.410, 0.750, 0.851], [0.145, 0.250, 0.900], [0.385, 0.750, 0.126], [0.885, 0.750, 0.374], [0.115, 0.250, 0.626], [0.615, 0.250, 0.874]]}

=====

# 4
{"formula": "HgH2", "functional": "PBE-GGA", "state": "relaxed", "total_energy_ev_per_atom": -1.8789, "volume_a3_per_atom": 12.73, "lattice": [[-0.174, 0.736, 4.874], [-2.437, -4.850, 0.645], [5.068, -2.473, 0.554]], "species": ["H", "H", "H", "H", "H", "H", "H", "H", "Hg", "Hg", "Hg", "Hg"], "frac_coords": [[0.247, 0.408, 0.168], [0.253, 0.908, 0.168], [0.753, 0.408, 0.332], [0.747, 0.908, 0.332], [0.253, 0.092, 0.668], [0.247, 0.592, 0.668], [0.747, 0.092, 0.832], [0.753, 0.592, 0.832], [0.500, 0.165, 0.250], [0.000, 0.665, 0.250], [0.000, 0.335, 0.750], [0.500, 0.835, 0.750]]}

=====

# 5
{"formula": "Hg2H", "functional": "PBE-GGA", "state": "relaxed", "total_energy_ev_per_atom": -0.8604, "volume_a3_per_atom": 38.54, "lattice": [[3.445, 1.989, 5.625], [-3.445, 1.989, 5.625], [0.000, -3.978, 5.625]], "species": ["H", "H", "Hg", "Hg", "Hg", "Hg"], "frac_coords": [[0.250, 0.250, 0.250], [0.500, 0.500, 0.500], [0.875, 0.375, 0.375], [0.375, 0.875, 0.375], [0.375, 0.375, 0.375], [0.375, 0.375, 0.875]]}

=====

# 6
{"formula": "HgH2", "functional": "PBE-GGA", "state": "relaxed", "total_energy_ev_per_atom": -2.0226, "volume_a3_per_atom": 14.89, "lattice": [[-3.305, -1.427, 0.094], [0.470, -0.616, 3.516], [-2.636, 6.203, 1.438]], "species": ["H", "H", "H", "H", "Hg", "Hg"], "frac_coords": [[0.477, 0.477, 0.143], [0.984, 0.984, 0.357], [0.523, 0.523, 0.643], [0.017, 0.017, 0.857], [0.747, 0.747, 0.000], [0.253, 0.253, 0.500]]}

=====

# 7
{"formula": "HgH2I4", "functional": "PBE-GGA", "state": "relaxed", "total_energy_ev_per_atom": -1.6181, "volume_a3_per_atom": 30.31, "lattice": [[5.825, 0.000, 0.000], [0.000, 5.825, 0.000], [0.000, 0.000, 6.255]], "species": ["H", "H", "Hg", "I", "I", "I", "I"], "frac_coords": [[0.500, 0.000, 0.500], [0.000, 0.500, 0.500], [0.000, 0.000, 0.000], [0.265, 0.265, 0.290], [0.735, 0.735, 0.290], [0.735, 0.265, 0.710], [0.265, 0.735, 0.710]]}

=====

# 8
{"formula": "KHgH2I3O", "functional": "PBE-GGA", "state": "relaxed", "total_energy_ev_per_atom": -3.0813, "volume_a3_per_atom": 29.41, "lattice": [[8.708, 0.000, 0.000], [0.000, 9.299, 0.000], [0.000, 0.000, 11.622]], "species": ["H", "H", "H", "H", "H", "H", "H", "H", "Hg", "Hg", "Hg", "Hg", "I", "I", "I", "I", "I", "I", "I", "I", "I", "I", "I", "I", "K", "K", "K", "K", "O", "O", "O", "O"], "frac_coords": [[0.106, 0.015, 0.325], [0.606, 0.485, 0.325], [0.127, 0.056, 0.453], [0.627, 0.444, 0.453], [0.394, 0.515, 0.825], [0.894, 0.985, 0.825], [0.373, 0.556, 0.953], [0.873, 0.944, 0.953], [0.243, 0.199, 0.001], [0.743, 0.301, 0.001], [0.257, 0.699, 0.501], [0.757, 0.801, 0.501], [0.744, 0.586, 0.067], [0.244, 0.914, 0.067], [0.765, 0.072, 0.157], [0.265, 0.428, 0.157], [0.997, 0.729, 0.338], [0.497, 0.771, 0.338], [0.756, 0.086, 0.567], [0.256, 0.414, 0.567], [0.735, 0.572, 0.657], [0.235, 0.928, 0.657], [0.503, 0.229, 0.838], [0.003, 0.271, 0.838], [0.450, 0.166, 0.357], [0.950, 0.334, 0.357], [0.050, 0.666, 0.857], [0.550, 0.834, 0.857], [0.141, 0.094, 0.375], [0.641, 0.406, 0.375], [0.359, 0.594, 0.875], [0.859, 0.906, 0.875]]}

=====

What is the formula in the sixth record? HgH2